{"formula": "HoTmMg6", "functional": "GGA-PBE", "state": "relaxed", "lattice": [[5.054, 0.000, 0.000], [0.000, 3.654, 5.394], [0.000, -3.654, 5.394]], "species": ["Ho", "Tm", "Mg", "Mg", "Mg", "Mg", "Mg", "Mg"], "fractional_positions": [[0.000, 0.000, 0.000], [0.500, 0.744, 0.744], [0.000, 0.054, 0.486], [0.000, 0.486, 0.054], [0.000, 0.544, 0.544], [0.500, 0.201, 0.201], [0.500, 0.258, 0.689], [0.500, 0.689, 0.258]], "magnetic_moment_mub_per_cell": 0.009, "e_tot_ev_per_atom": -2.34}

***

{"formula": "Lu2CdGa", "functional": "GGA-PBE", "state": "relaxed", "lattice": [[0.000, 3.628, 3.628], [3.628, 0.000, 3.628], [3.628, 3.628, 0.000]], "species": ["Lu", "Lu", "Cd", "Ga"], "fractional_positions": [[0.000, 0.000, 0.000], [0.250, 0.250, 0.250], [0.750, 0.750, 0.750], [0.500, 0.500, 0.500]], "magnetic_moment_mub_per_cell": 0.003, "e_tot_ev_per_atom": -3.22}

***

{"formula": "HfFeHgGe", "functional": "GGA-PBE", "state": "relaxed", "lattice": [[0.000, 3.300, 3.300], [3.300, 0.000, 3.300], [3.300, 3.300, 0.000]], "species": ["Hf", "Fe", "Hg", "Ge"], "fractional_positions": [[0.000, 0.000, 0.000], [0.750, 0.750, 0.750], [0.250, 0.250, 0.250], [0.500, 0.500, 0.500]], "magnetic_moment_mub_per_cell": 1.636, "e_tot_ev_per_atom": -5.51}

***

{"formula": "GdPuGe", "functional": "GGA-PBE", "state": "relaxed", "lattice": [[0.000, 3.435, 3.435], [3.435, 0.000, 3.435], [3.435, 3.435, 0.000]], "species": ["Gd", "Pu", "Ge"], "fractional_positions": [[0.000, 0.000, 0.000], [0.500, 0.500, 0.500], [0.250, 0.250, 0.250]], "magnetic_moment_mub_per_cell": 6.377, "e_tot_ev_per_atom": -8.12}

***

{"formula": "Y4CuC2S", "functional": "GGA-PBE", "state": "relaxed", "lattice": [[3.688, 0.000, 0.000], [-1.844, 3.194, 0.000], [0.000, 0.000, 13.282]], "species": ["Y", "Y", "Y", "Y", "Cu", "C", "C", "S"], "fractional_positions": [[0.000, 0.000, 0.142], [0.000, 0.000, 0.858], [0.667, 0.333, 0.343], [0.667, 0.333, 0.657], [0.000, 0.000, 0.500], [0.333, 0.667, 0.245], [0.333, 0.667, 0.755], [0.667, 0.333, 0.000]], "magnetic_moment_mub_per_cell": 0.003, "e_tot_ev_per_atom": -7.24}

***

{"formula": "TbHoNCl3", "functional": "GGA-PBE", "state": "relaxed", "lattice": [[8.184, -1.916, 0.000], [8.184, 1.916, 0.000], [-5.695, 0.000, 9.106]], "species": ["Tb", "Tb", "Ho", "Ho", "N", "N", "Cl", "Cl", "Cl", "Cl", "Cl", "Cl"], "fractional_positions": [[0.085, 0.085, 0.455], [0.915, 0.915, 0.545], [0.362, 0.362, 0.207], [0.638, 0.638, 0.793], [0.077, 0.077, 0.658], [0.923, 0.923, 0.342], [0.167, 0.167, 0.012], [0.278, 0.278, 0.383], [0.456, 0.456, 0.753], [0.544, 0.544, 0.247], [0.722, 0.722, 0.617], [0.833, 0.833, 0.988]], "magnetic_moment_mub_per_cell": 0.003, "e_tot_ev_per_atom": -5.97}

***

{"formula": "PrHoNb", "functional": "GGA-PBE", "state": "relaxed", "lattice": [[0.000, 3.615, 3.615], [3.615, 0.000, 3.615], [3.615, 3.615, 0.000]], "species": ["Pr", "Ho", "Nb"], "fractional_positions": [[0.000, 0.000, 0.000], [0.500, 0.500, 0.500], [0.750, 0.750, 0.750]], "magnetic_moment_mub_per_cell": 2.099, "e_tot_ev_per_atom": -5.67}

***

{"formula": "TmGa2CuIr4", "functional": "GGA-PBE", "state": "relaxed", "lattice": [[4.378, 0.000, 0.000], [0.000, 4.378, 0.000], [0.000, 0.000, 6.298]], "species": ["Tm", "Ga", "Ga", "Cu", "Ir", "Ir", "Ir", "Ir"], "fractional_positions": [[0.000, 0.000, 0.000], [0.000, 0.000, 0.500], [0.500, 0.500, 0.000], [0.500, 0.500, 0.500], [0.000, 0.500, 0.272], [0.000, 0.500, 0.728], [0.500, 0.000, 0.272], [0.500, 0.000, 0.728]], "magnetic_moment_mub_per_cell": 0.004, "e_tot_ev_per_atom": -6.62}

***

{"formula": "U3Se5", "functional": "GGA-PBE", "state": "relaxed", "lattice": [[-5.508, 5.508, 3.066], [5.508, -5.508, 3.066], [5.508, 5.508, -3.066]], "species": ["U", "U", "U", "U", "U", "U", "Se", "Se", "Se", "Se", "Se", "Se", "Se", "Se", "Se", "Se"], "fractional_positions": [[0.158, 0.658, 0.817], [0.250, 0.250, 0.000], [0.342, 0.158, 0.500], [0.658, 0.842, 0.500], [0.750, 0.750, 0.000], [0.842, 0.342, 0.183], [0.081, 0.216, 0.297], [0.216, 0.919, 0.135], [0.250, 0.750, 0.500], [0.284, 0.419, 0.703], [0.419, 0.716, 0.135], [0.581, 0.284, 0.865], [0.716, 0.581, 0.297], [0.750, 0.250, 0.500], [0.784, 0.081, 0.865], [0.919, 0.784, 0.703]], "magnetic_moment_mub_per_cell": 15.744, "e_tot_ev_per_atom": -7.49}

***

{"formula": "ZrBe", "functional": "GGA-PBE", "state": "relaxed", "lattice": [[6.758, 0.000, 0.000], [0.000, 3.546, 0.000], [-0.027, 0.000, 7.836]], "species": ["Zr", "Zr", "Zr", "Zr", "Zr", "Zr", "Be", "Be", "Be", "Be", "Be", "Be"], "fractional_positions": [[0.029, 0.250, 0.337], [0.345, 0.750, 0.503], [0.384, 0.250, 0.127], [0.616, 0.750, 0.873], [0.655, 0.250, 0.497], [0.971, 0.750, 0.663], [0.028, 0.250, 0.930], [0.229, 0.750, 0.905], [0.304, 0.250, 0.769], [0.696, 0.750, 0.231], [0.771, 0.250, 0.095], [0.972, 0.750, 0.070]], "magnetic_moment_mub_per_cell": 0.007, "e_tot_ev_per_atom": -6.14}

***

{"formula": "ThNi3", "functional": "GGA-PBE", "state": "relaxed", "lattice": [[-1.966, 1.966, 3.993], [1.966, -1.966, 3.993], [1.966, 1.966, -3.993]], "species": ["Th", "Ni", "Ni", "Ni"], "fractional_positions": [[0.000, 0.000, 0.000], [0.250, 0.750, 0.500], [0.500, 0.500, 0.000], [0.750, 0.250, 0.500]], "magnetic_moment_mub_per_cell": 0.000, "e_tot_ev_per_atom": -6.34}

***

{"formula": "Cs4PdPb2", "functional": "GGA-PBE", "state": "relaxed", "lattice": [[-5.487, 5.487, 2.941], [5.487, -5.487, 2.941], [5.487, 5.487, -2.941]], "species": ["Cs", "Cs", "Cs", "Cs", "Pd", "Pb", "Pb"], "fractional_positions": [[0.171, 0.171, 0.342], [0.171, 0.829, 0.000], [0.829, 0.171, 0.000], [0.829, 0.829, 0.658], [0.500, 0.500, 0.000], [0.250, 0.750, 0.500], [0.750, 0.250, 0.500]], "e_tot_ev_per_atom": -2.15}

***

{"formula": "Ag3TeHO4", "functional": "GGA-PBE", "state": "relaxed", "lattice": [[5.671, 0.000, 0.000], [0.000, 7.367, 0.000], [-1.871, 0.000, 6.090]], "species": ["Ag", "Ag", "Ag", "Ag", "Ag", "Ag", "Te", "Te", "H", "H", "O", "O", "O", "O", "O", "O", "O", "O"], "fractional_positions": [[0.116, 0.250, 0.342], [0.349, 0.560, 0.694], [0.349, 0.940, 0.694], [0.651, 0.060, 0.306], [0.651, 0.440, 0.306], [0.884, 0.750, 0.658], [0.085, 0.750, 0.144], [0.915, 0.250, 0.856], [0.441, 0.250, 0.911], [0.559, 0.750, 0.089], [0.185, 0.250, 0.721], [0.253, 0.552, 0.315], [0.253, 0.948, 0.315], [0.385, 0.750, 0.983], [0.615, 0.250, 0.017], [0.747, 0.052, 0.685], [0.747, 0.448, 0.685], [0.815, 0.750, 0.279]], "e_tot_ev_per_atom": -4.40}

***

{"formula": "DyAgNO", "functional": "GGA-PBE", "state": "relaxed", "lattice": [[4.877, 0.000, 0.000], [0.000, 4.877, 0.000], [0.000, 0.000, 4.521]], "species": ["Dy", "Dy", "Ag", "Ag", "N", "N", "O", "O"], "fractional_positions": [[0.250, 0.750, 0.000], [0.750, 0.250, 0.000], [0.250, 0.250, 0.499], [0.750, 0.750, 0.501], [0.250, 0.250, 0.999], [0.750, 0.750, 0.001], [0.250, 0.750, 0.500], [0.750, 0.250, 0.500]], "magnetic_moment_mub_per_cell": 0.001, "e_tot_ev_per_atom": -6.25}

***

{"formula": "TmBeZn", "functional": "GGA-PBE", "state": "relaxed", "lattice": [[0.000, 3.032, 3.032], [3.032, 0.000, 3.032], [3.032, 3.032, 0.000]], "species": ["Tm", "Be", "Zn"], "fractional_positions": [[0.000, 0.000, 0.000], [0.250, 0.250, 0.250], [0.500, 0.500, 0.500]], "magnetic_moment_mub_per_cell": 0.065, "e_tot_ev_per_atom": -3.09}

***

{"formula": "DyHo2Si4Au4", "functional": "GGA-PBE", "state": "relaxed", "lattice": [[-2.058, 2.116, 12.519], [2.058, -2.116, 12.519], [2.058, 2.116, -12.519]], "species": ["Dy", "Ho", "Ho", "Si", "Si", "Si", "Si", "Au", "Au", "Au", "Au"], "fractional_positions": [[0.000, 0.000, 0.000], [0.352, 0.852, 0.500], [0.648, 0.148, 0.500], [0.189, 0.689, 0.500], [0.453, 0.453, 0.000], [0.547, 0.547, 0.000], [0.811, 0.311, 0.500], [0.094, 0.594, 0.500], [0.252, 0.252, 0.000], [0.748, 0.748, 0.000], [0.906, 0.406, 0.500]], "magnetic_moment_mub_per_cell": 0.004, "e_tot_ev_per_atom": -5.11}

***

{"formula": "CoNiGeS3", "functional": "GGA-PBE", "state": "relaxed", "lattice": [[1.672, -5.883, 0.000], [1.672, 5.883, 0.000], [0.000, 0.000, 9.224]], "species": ["Co", "Co", "Ni", "Ni", "Ge", "Ge", "S", "S", "S", "S", "S", "S"], "fractional_positions": [[0.000, 0.000, 0.000], [0.000, 0.000, 0.500], [0.365, 0.635, 0.750], [0.635, 0.365, 0.250], [0.286, 0.714, 0.250], [0.714, 0.286, 0.750], [0.006, 0.994, 0.750], [0.373, 0.627, 0.508], [0.373, 0.627, 0.992], [0.627, 0.373, 0.008], [0.627, 0.373, 0.492], [0.994, 0.006, 0.250]], "magnetic_moment_mub_per_cell": 0.030, "e_tot_ev_per_atom": -5.19}

***

{"formula": "Sr2NiAs4Pd", "functional": "GGA-PBE", "state": "relaxed", "lattice": [[4.568, 0.000, 0.000], [0.000, 2.230, 8.433], [0.000, -2.230, 8.433]], "species": ["Sr", "Sr", "Ni", "As", "As", "As", "As", "Pd"], "fractional_positions": [[0.000, 0.000, 0.000], [0.500, 0.211, 0.211], [0.500, 0.420, 0.420], [0.000, 0.363, 0.363], [0.000, 0.640, 0.640], [0.500, 0.562, 0.562], [0.500, 0.858, 0.858], [0.000, 0.789, 0.789]], "magnetic_moment_mub_per_cell": 0.006, "e_tot_ev_per_atom": -4.85}

***

{"formula": "MgCuAsOs", "functional": "GGA-PBE", "state": "relaxed", "lattice": [[0.000, 3.109, 3.109], [3.109, 0.000, 3.109], [3.109, 3.109, 0.000]], "species": ["Mg", "Cu", "As", "Os"], "fractional_positions": [[0.000, 0.000, 0.000], [0.750, 0.750, 0.750], [0.500, 0.500, 0.500], [0.250, 0.250, 0.250]], "magnetic_moment_mub_per_cell": 0.001, "e_tot_ev_per_atom": -4.99}

***

{"formula": "BaPr2In2O7", "functional": "GGA-PBE", "state": "relaxed", "lattice": [[5.931, 0.000, 0.000], [0.000, 5.931, 0.000], [0.000, 0.000, 20.673]], "species": ["Ba", "Ba", "Ba", "Ba", "Pr", "Pr", "Pr", "Pr", "Pr", "Pr", "Pr", "Pr", "In", "In", "In", "In", "In", "In", "In", "In", "O", "O", "O", "O", "O", "O", "O", "O", "O", "O", "O", "O", "O", "O", "O", "O", "O", "O", "O", "O", "O", "O", "O", "O", "O", "O", "O", "O"], "fractional_positions": [[0.240, 0.240, 0.000], [0.260, 0.740, 0.500], [0.740, 0.260, 0.500], [0.760, 0.760, 0.000], [0.222, 0.222, 0.185], [0.222, 0.222, 0.815], [0.278, 0.722, 0.315], [0.278, 0.722, 0.685], [0.722, 0.278, 0.315], [0.722, 0.278, 0.685], [0.778, 0.778, 0.185], [0.778, 0.778, 0.815], [0.241, 0.241, 0.398], [0.241, 0.241, 0.602], [0.259, 0.741, 0.102], [0.259, 0.741, 0.898], [0.741, 0.259, 0.102], [0.741, 0.259, 0.898], [0.759, 0.759, 0.398], [0.759, 0.759, 0.602], [0.000, 0.000, 0.091], [0.000, 0.000, 0.364], [0.000, 0.000, 0.636], [0.000, 0.000, 0.909], [0.000, 0.500, 0.116], [0.000, 0.500, 0.384], [0.000, 0.500, 0.616], [0.000, 0.500, 0.884], [0.181, 0.819, 0.211], [0.181, 0.819, 0.789], [0.201, 0.201, 0.500], [0.299, 0.701, 0.000], [0.319, 0.319, 0.289], [0.319, 0.319, 0.711], [0.500, 0.000, 0.116], [0.500, 0.000, 0.384], [0.500, 0.000, 0.616], [0.500, 0.000, 0.884], [0.500, 0.500, 0.136], [0.500, 0.500, 0.409], [0.500, 0.500, 0.591], [0.500, 0.500, 0.864], [0.681, 0.681, 0.289], [0.681, 0.681, 0.711], [0.701, 0.299, 0.000], [0.799, 0.799, 0.500], [0.819, 0.181, 0.211], [0.819, 0.181, 0.789]], "magnetic_moment_mub_per_cell": 0.000, "e_tot_ev_per_atom": -6.77}